Record 1
Density functional theory data (GGA-PBE) for a relaxed Li6Mg8Zn crystal.

Cell: 8.3423 8.3423 15.2505 Å, 90.00 90.00 120.00°
Closest atoms and distances in Å follow each position.
Space group R-3 (No. 148, hexagonal axes)
One atom of each set of equivalent atoms:
Li 0.0185 0.6343 0.3423 (multiplicity 18)  1 Zn 2.75, 3 Li 2.76-3.00, 4 Mg 2.77-3.02
Mg 0.0000 0.0000 0.4026 (multiplicity 6)  3 Li 2.77, 1 Mg 2.97
Mg 0.0660 0.8252 0.1717 (multiplicity 18)  3 Li 2.80-3.02, 4 Mg 3.11
Zn 0.0000 0.0000 0.0000 (multiplicity 3)  6 Li 2.75

Calculated values
Distance to the lowest polymorph of the same formula in meV/atom: 0
Total energy in hartree per atom: -0.0619

=====

Record 2
Density functional theory data (GGA-PBE) for a relaxed SrSb3Pb3 crystal.

Cell: 9.2974 9.2974 21.4713 Å, 90.00 90.00 120.00°
Closest atoms and distances in Å follow each position.
Space group R-3 (No. 148, hexagonal axes)
One atom of each set of equivalent atoms:
Sr 0.0000 0.0000 0.1655 (multiplicity 6)  6 Sb 3.41-3.43
Sb 0.0034 0.3626 0.4218 (multiplicity 18)  4 Pb 3.11-3.25, 2 Sr 3.41-3.43
Pb 0.0073 0.3119 0.6105 (multiplicity 18)  4 Sb 3.11-3.25

Calculated values
Formation energy (no corrections) in eV/f.u.: -1.54
Distance to the lowest polymorph of the same formula in meV/atom: 0
Total energy in hartree per atom: -0.1402

=====

Record 3
Density functional theory data (GGA-PBE) for a relaxed CoRe2Tc crystal.

Cell: 5.3830 7.6241 2.7025 Å, 90.00 90.00 90.00°
Closest atoms and distances in Å follow each position.
Space group Cmmm (No. 65)
One atom of each set of equivalent atoms:
Co 0.0000 0.0000 0.0000 (multiplicity 2)  2 Tc 2.69, 8 Re 2.70, 2 Co 2.70
Re 0.2500 0.2500 0.5000 (multiplicity 4)  4 Re 2.69-2.70, 4 Co 2.70, 4 Tc 2.70
Tc 0.0000 0.5000 0.0000 (multiplicity 2)  2 Co 2.69, 8 Re 2.70, 2 Tc 2.70

Calculated values
Distance to the lowest polymorph of the same formula in meV/atom: 64
Total energy in hartree per atom: -0.3859

=====

Record 4
Density functional theory data (GGA-PBE) for a relaxed CaNdN crystal.

Cell: 4.8620 4.8620 7.6266 Å, 90.00 90.00 90.00°
Closest atoms and distances in Å follow each position.
Space group I4mm (No. 107)
One atom of each set of equivalent atoms:
Ca 0.0000 0.0000 0.0000 (multiplicity 2)  1 N 2.15
Nd 0.0000 0.0000 0.4457 (multiplicity 2)  1 N 2.08
N 0.0000 0.0000 0.7185 (multiplicity 2)  1 Nd 2.08, 1 Ca 2.15

Calculated values
Formation energy (no corrections) in eV/f.u.: 0.98
Distance to the lowest polymorph of the same formula in meV/atom: 1107
Total energy in hartree per atom: -0.1729

=====

Record 5
Density functional theory data (GGA-PBE) for a relaxed K2RbNd crystal.

Cell: 4.0285 4.0285 48.4026 Å, 90.00 90.00 120.00°
Closest atoms and distances in Å follow each position.
Space group R-3m (No. 166, hexagonal axes)
One atom of each set of equivalent atoms:
K 0.0000 0.0000 0.0784 (multiplicity 6)  1 Nd 3.80, 6 K 4.03
Rb 0.0000 0.0000 0.5000 (multiplicity 3)  6 Rb 4.03
Nd 0.0000 0.0000 0.0000 (multiplicity 3)  2 K 3.80, 6 Nd 4.03

Calculated values
Total energy in hartree per atom: -0.0584

=====

Record 6
Density functional theory data (GGA-PBE) for a relaxed BaLi2Tl2 crystal.

Cell: 5.2299 5.2299 10.4735 Å, 90.00 90.00 90.00°
Closest atoms and distances in Å follow each position.
Space group I4/mmm (No. 139)
One atom of each set of equivalent atoms:
Ba 0.0000 0.0000 0.0000 (multiplicity 2)  8 Li 3.70, 10 Tl 3.75-3.98
Li 0.0000 0.5000 0.2500 (multiplicity 4)  4 Tl 2.85
Tl 0.0000 0.0000 0.3582 (multiplicity 4)  4 Li 2.85, 1 Tl 2.97

Calculated values
Distance to the lowest polymorph of the same formula in meV/atom: 0
Total energy in hartree per atom: -0.0873

=====

Record 7
Density functional theory data (GGA-PBE) for a relaxed Sm6Ni2PdBr3 crystal.

Cell: 19.3375 4.0711 9.0102 Å, 90.00 110.79 90.00°
Closest atoms and distances in Å follow each position.
Space group C2/m (No. 12)
One atom of each set of equivalent atoms:
Sm 0.0175 0.0000 0.2317 (multiplicity 4)  1 Ni 2.72, 2 Pd 2.85
Sm 0.1588 0.5000 0.1258 (multiplicity 4)  2 Ni 2.76, 1 Pd 2.87
Sm 0.1796 0.5000 0.5542 (multiplicity 4)  3 Ni 2.76-2.77
Ni 0.1678 0.0000 0.3383 (multiplicity 4)  6 Sm 2.72-2.77
Pd 0.0000 0.5000 0.0000 (multiplicity 2)  6 Sm 2.85-2.87
Br 0.0000 0.5000 0.5000 (multiplicity 2)  6 Sm 3.27-3.33
Br 0.1666 0.0000 0.8330 (multiplicity 4)  6 Sm 3.26-3.40

Calculated values
Formation energy (no corrections) in eV/f.u.: -10.46
Total energy in hartree per atom: -0.1854

=====

Record 8
Density functional theory data (GGA-PBE) for a relaxed Ac2LaCeSb4 crystal.

Cell: 8.1114 4.6852 8.1202 Å, 90.00 109.45 90.00°
Closest atoms and distances in Å follow each position.
Space group P2/m (No. 10)
One atom of each set of equivalent atoms:
Ac 0.0000 0.0000 0.0000 (multiplicity 1)  6 Sb 3.39-3.40
Ac 0.5000 0.5000 0.0000 (multiplicity 1)  6 Sb 3.36
La 0.0000 0.5000 0.5000 (multiplicity 1)  6 Sb 3.27
Ce 0.5000 0.0000 0.5000 (multiplicity 1)  6 Sb 3.23-3.24
Sb 0.2493 0.0000 0.7370 (multiplicity 2)  1 Ce 3.23, 2 La 3.27, 3 Ac 3.36-3.40
Sb 0.2584 0.5000 0.2653 (multiplicity 2)  2 Ce 3.24, 1 La 3.27, 3 Ac 3.36-3.39

Calculated values
Formation energy (no corrections) in eV/f.u.: -9.45
Total energy in hartree per atom: -0.2068